Material: LaPb
Method: DFT, meta-GGA SCAN
State: single point on PBEsol structure Values from VASP.

Output
energy relative to the elements: -0.878 eV/atom
ρ: 8.95 g/cm3
space-group type: Pnma (62)

```
&SYSTEM
  ibrav = 0, nat = 8, ntyp = 2
/
ATOMIC_SPECIES
La 138.91 La.upf
Pb 207.20 Pb.upf
CELL_PARAMETERS angstrom
8.874 0.000 0.000
0.000 4.495 0.000
0.000 0.000 6.442
ATOMIC_POSITIONS angstrom
La 1.645 1.124 0.798
La 2.792 3.371 4.020
La 6.082 1.124 2.423
La 7.228 3.371 5.644
Pb 0.357 1.124 4.246
Pb 4.080 3.371 1.025
Pb 4.794 1.124 5.417
Pb 8.517 3.371 2.196
```